[1]
{
  "formula": "MgGaBi",
  "functional": "PBE-GGA",
  "state": "relaxed",
  "lattice_angstrom": [[5.142, 0.000, 0.000], [-2.571, 4.453, 0.000], [0.000, 0.000, 3.295]],
  "species": ["Mg", "Ga", "Bi"],
  "fractional_positions": [[0.000, 0.000, 0.000], [0.667, 0.333, 0.696], [0.333, 0.667, 0.404]],
  "space_group": "P3m1, No. 156",
  "final_energy_ev_per_fu": -8.48,
  "dos_ef_per_ev_cell": 1.06
}

***

[2]
{
  "formula": "Mg6GaBi3",
  "functional": "PBE-GGA",
  "state": "relaxed",
  "lattice_angstrom": [[4.517, 0.000, 0.000], [0.000, 8.442, 0.000], [-0.217, 0.000, 14.112]],
  "species": ["Mg", "Mg", "Mg", "Mg", "Mg", "Mg", "Mg", "Mg", "Mg", "Mg", "Mg", "Mg", "Ga", "Ga", "Bi", "Bi", "Bi", "Bi", "Bi", "Bi"],
  "fractional_positions": [[0.002, 0.200, 0.422], [0.002, 0.300, 0.922], [0.492, 0.049, 0.719], [0.492, 0.451, 0.219], [0.492, 0.652, 0.434], [0.492, 0.848, 0.934], [0.508, 0.152, 0.066], [0.508, 0.348, 0.566], [0.508, 0.549, 0.781], [0.508, 0.951, 0.281], [0.998, 0.700, 0.078], [0.998, 0.800, 0.578], [0.000, 0.000, 0.000], [0.000, 0.500, 0.500], [0.024, 0.181, 0.213], [0.024, 0.319, 0.713], [0.500, 0.000, 0.500], [0.500, 0.500, 0.000], [0.976, 0.681, 0.287], [0.976, 0.819, 0.787]],
  "space_group": "P2_1/c, No. 14",
  "final_energy_ev_per_fu": -25.53,
  "dos_ef_per_ev_cell": 1.88
}

***

[3]
{
  "formula": "MgGa2Bi",
  "functional": "PBE-GGA",
  "state": "relaxed",
  "lattice_angstrom": [[4.412, 0.000, 0.000], [0.000, 4.412, 0.000], [0.000, 0.000, 4.820]],
  "species": ["Mg", "Ga", "Ga", "Bi"],
  "fractional_positions": [[0.000, 0.000, 0.000], [0.000, 0.500, 0.500], [0.500, 0.000, 0.500], [0.500, 0.500, 0.000]],
  "space_group": "P4/mmm, No. 123",
  "relative_energy_mev_per_atom": 0,
  "final_energy_ev_per_fu": -11.65,
  "dos_ef_per_ev_cell": 1.36
}

***

[4]
{
  "formula": "MgGaBi2",
  "functional": "PBE-GGA",
  "state": "relaxed",
  "lattice_angstrom": [[3.982, 0.000, 0.000], [0.000, 3.982, 0.000], [0.000, 0.000, 6.724]],
  "species": ["Mg", "Ga", "Bi", "Bi"],
  "fractional_positions": [[0.000, 0.000, 0.000], [0.000, 0.000, 0.500], [0.500, 0.500, 0.247], [0.500, 0.500, 0.753]],
  "space_group": "P4/mmm, No. 123",
  "final_energy_ev_per_fu": -12.39,
  "dos_ef_per_ev_cell": 1.70
}

***

[5]
{
  "formula": "Mg3GaBi",
  "functional": "PBE-GGA",
  "state": "relaxed",
  "lattice_angstrom": [[5.083, 0.000, 0.000], [0.000, 5.083, 0.000], [0.000, 0.000, 5.083]],
  "species": ["Mg", "Mg", "Mg", "Ga", "Bi"],
  "fractional_positions": [[0.000, 0.000, 0.500], [0.000, 0.500, 0.000], [0.500, 0.000, 0.000], [0.000, 0.000, 0.000], [0.500, 0.500, 0.500]],
  "space_group": "Pm-3m, No. 221",
  "relative_energy_mev_per_atom": 207,
  "final_energy_ev_per_fu": -11.21,
  "dos_ef_per_ev_cell": 3.75
}

***

[6]
{
  "formula": "Mg3Ga12Bi5",
  "functional": "PBE-GGA",
  "state": "relaxed",
  "lattice_angstrom": [[-8.207, 8.207, 8.207], [8.207, -8.207, 8.207], [8.207, 8.207, -8.207]],
  "species": ["Mg", "Mg", "Mg", "Mg", "Mg", "Mg", "Mg", "Mg", "Mg", "Mg", "Mg", "Mg", "Ga", "Ga", "Ga", "Ga", "Ga", "Ga", "Ga", "Ga", "Ga", "Ga", "Ga", "Ga", "Ga", "Ga", "Ga", "Ga", "Ga", "Ga", "Ga", "Ga", "Ga", "Ga", "Ga", "Ga", "Ga", "Ga", "Ga", "Ga", "Ga", "Ga", "Ga", "Ga", "Ga", "Ga", "Ga", "Ga", "Ga", "Ga", "Ga", "Ga", "Ga", "Ga", "Ga", "Ga", "Ga", "Ga", "Ga", "Ga", "Bi", "Bi", "Bi", "Bi", "Bi", "Bi", "Bi", "Bi", "Bi", "Bi", "Bi", "Bi", "Bi", "Bi", "Bi", "Bi", "Bi", "Bi", "Bi", "Bi"],
  "fractional_positions": [[0.125, 0.250, 0.375], [0.125, 0.375, 0.750], [0.250, 0.375, 0.125], [0.250, 0.875, 0.625], [0.375, 0.125, 0.250], [0.375, 0.750, 0.125], [0.625, 0.250, 0.875], [0.625, 0.875, 0.750], [0.750, 0.125, 0.375], [0.750, 0.625, 0.875], [0.875, 0.625, 0.250], [0.875, 0.750, 0.625], [0.066, 0.642, 0.398], [0.066, 0.924, 0.667], [0.076, 0.244, 0.142], [0.076, 0.333, 0.934], [0.102, 0.744, 0.667], [0.102, 0.858, 0.434], [0.142, 0.076, 0.244], [0.142, 0.566, 0.898], [0.167, 0.244, 0.602], [0.167, 0.424, 0.566], [0.244, 0.142, 0.076], [0.244, 0.602, 0.167], [0.256, 0.333, 0.898], [0.256, 0.424, 0.358], [0.333, 0.898, 0.256], [0.333, 0.934, 0.076], [0.358, 0.256, 0.424], [0.358, 0.602, 0.934], [0.398, 0.066, 0.642], [0.398, 0.833, 0.756], [0.424, 0.358, 0.256], [0.424, 0.566, 0.167], [0.434, 0.102, 0.858], [0.434, 0.833, 0.576], [0.566, 0.167, 0.424], [0.566, 0.898, 0.142], [0.576, 0.434, 0.833], [0.576, 0.642, 0.744], [0.602, 0.167, 0.244], [0.602, 0.934, 0.358], [0.642, 0.398, 0.066], [0.642, 0.744, 0.576], [0.667, 0.066, 0.924], [0.667, 0.102, 0.744], [0.744, 0.576, 0.642], [0.744, 0.667, 0.102], [0.756, 0.398, 0.833], [0.756, 0.858, 0.924], [0.833, 0.576, 0.434], [0.833, 0.756, 0.398], [0.858, 0.434, 0.102], [0.858, 0.924, 0.756], [0.898, 0.142, 0.566], [0.898, 0.256, 0.333], [0.924, 0.667, 0.066], [0.924, 0.756, 0.858], [0.934, 0.076, 0.333], [0.934, 0.358, 0.602], [0.000, 0.000, 0.000], [0.000, 0.000, 0.500], [0.000, 0.500, 0.000], [0.000, 0.500, 0.500], [0.125, 0.750, 0.875], [0.125, 0.875, 0.250], [0.250, 0.125, 0.875], [0.250, 0.625, 0.375], [0.375, 0.250, 0.625], [0.375, 0.625, 0.750], [0.500, 0.000, 0.000], [0.500, 0.000, 0.500], [0.500, 0.500, 0.000], [0.500, 0.500, 0.500], [0.625, 0.375, 0.250], [0.625, 0.750, 0.375], [0.750, 0.375, 0.625], [0.750, 0.875, 0.125], [0.875, 0.125, 0.750], [0.875, 0.250, 0.125]],
  "space_group": "Ia-3d, No. 230",
  "final_energy_ev_per_fu": -57.56,
  "dos_ef_per_ev_cell": 45.34
}

***

[7]
{
  "formula": "Mg2Ga2Bi",
  "functional": "PBE-GGA",
  "state": "relaxed",
  "lattice_angstrom": [[8.419, 0.000, 0.000], [0.000, 8.419, 0.000], [0.000, 0.000, 3.154]],
  "species": ["Mg", "Mg", "Mg", "Mg", "Ga", "Ga", "Ga", "Ga", "Bi", "Bi"],
  "fractional_positions": [[0.181, 0.319, 0.000], [0.319, 0.819, 0.000], [0.681, 0.181, 0.000], [0.819, 0.681, 0.000], [0.116, 0.616, 0.500], [0.384, 0.116, 0.500], [0.616, 0.884, 0.500], [0.884, 0.384, 0.500], [0.000, 0.000, 0.500], [0.500, 0.500, 0.500]],
  "space_group": "P4/mbm, No. 127",
  "relative_energy_mev_per_atom": 0,
  "final_energy_ev_per_fu": -13.52,
  "dos_ef_per_ev_cell": 3.35
}

***

[8]
{
  "formula": "NaMgGaBi",
  "functional": "PBE-GGA",
  "state": "relaxed",
  "lattice_angstrom": [[0.000, 3.694, 3.694], [3.694, 0.000, 3.694], [3.694, 3.694, 0.000]],
  "species": ["Na", "Mg", "Ga", "Bi"],
  "fractional_positions": [[0.000, 0.000, 0.000], [0.500, 0.500, 0.500], [0.750, 0.750, 0.750], [0.250, 0.250, 0.250]],
  "space_group": "F-43m, No. 216",
  "final_energy_ev_per_fu": -10.37,
  "dos_ef_per_ev_cell": 1.76
}

***

[9]
{
  "formula": "Mg2GaBiO6",
  "functional": "PBE-GGA",
  "state": "relaxed",
  "lattice_angstrom": [[2.645, 1.527, 4.719], [-2.645, 1.527, 4.719], [0.000, -3.054, 4.719]],
  "species": ["Mg", "Mg", "Ga", "Bi", "O", "O", "O", "O", "O", "O"],
  "fractional_positions": [[0.000, 0.000, 0.000], [0.498, 0.498, 0.498], [0.711, 0.711, 0.711], [0.208, 0.208, 0.208], [0.091, 0.800, 0.416], [0.314, 0.611, 0.895], [0.416, 0.091, 0.800], [0.611, 0.895, 0.314], [0.800, 0.416, 0.091], [0.895, 0.314, 0.611]],
  "space_group": "R3, No. 146",
  "final_energy_ev_per_fu": -58.13
}

***

[10]
{
  "formula": "MgGa2BiO6",
  "functional": "PBE-GGA",
  "state": "relaxed",
  "lattice_angstrom": [[4.986, -4.765, 0.000], [4.986, 4.765, 0.000], [-0.958, 0.000, 5.470]],
  "species": ["Mg", "Mg", "Ga", "Ga", "Ga", "Ga", "Bi", "Bi", "O", "O", "O", "O", "O", "O", "O", "O", "O", "O", "O", "O"],
  "fractional_positions": [[0.207, 0.793, 0.750], [0.793, 0.207, 0.250], [0.103, 0.271, 0.801], [0.271, 0.103, 0.301], [0.729, 0.897, 0.699], [0.897, 0.729, 0.199], [0.392, 0.608, 0.250], [0.608, 0.392, 0.750], [0.062, 0.216, 0.112], [0.118, 0.657, 0.400], [0.216, 0.062, 0.612], [0.288, 0.477, 0.863], [0.343, 0.882, 0.100], [0.477, 0.288, 0.363], [0.523, 0.712, 0.637], [0.657, 0.118, 0.900], [0.712, 0.523, 0.137], [0.784, 0.938, 0.388], [0.882, 0.343, 0.600], [0.938, 0.784, 0.888]],
  "space_group": "C2/c, No. 15",
  "final_energy_ev_per_fu": -58.50,
  "dos_ef_per_ev_cell": 8.07
}

***

[11]
{
  "formula": "MgGaBiO4",
  "functional": "PBE-GGA",
  "state": "relaxed",
  "lattice_angstrom": [[-3.210, 3.212, 4.479], [3.210, -3.212, 4.479], [3.210, 3.212, -4.479]],
  "species": ["Mg", "Mg", "Ga", "Ga", "Bi", "Bi", "O", "O", "O", "O", "O", "O", "O", "O"],
  "fractional_positions": [[0.500, 0.000, 0.000], [0.500, 0.500, 0.500], [0.128, 0.378, 0.750], [0.872, 0.622, 0.250], [0.000, 0.000, 0.000], [0.500, 0.000, 0.500], [0.243, 0.738, 0.505], [0.263, 0.281, 0.518], [0.263, 0.745, 0.982], [0.267, 0.262, 0.005], [0.733, 0.738, 0.995], [0.737, 0.255, 0.018], [0.737, 0.719, 0.482], [0.757, 0.262, 0.495]],
  "space_group": "Imma, No. 74",
  "final_energy_ev_per_fu": -40.32
}

***

[12]
{
  "formula": "PuMgGaBi",
  "functional": "PBE-GGA",
  "state": "relaxed",
  "lattice_angstrom": [[0.000, 3.680, 3.680], [3.680, 0.000, 3.680], [3.680, 3.680, 0.000]],
  "species": ["Pu", "Mg", "Ga", "Bi"],
  "fractional_positions": [[0.000, 0.000, 0.000], [0.500, 0.500, 0.500], [0.250, 0.250, 0.250], [0.750, 0.750, 0.750]],
  "space_group": "F-43m, No. 216",
  "final_energy_ev_per_fu": -23.48,
  "dos_ef_per_ev_cell": 11.78
}

***

Sequential total moment output: 0.00 0.00 0.00 0.00 0.00 0.00 0.00 0.00 0.00 0.00 0.00 1.41 μB/atom